# Ti4CoGe3

Crystalline Ti4CoGe3 at its relaxed geometry (PBE, the Alexandria database). Values from VASP.

Quantum ESPRESSO input file:
```
&SYSTEM
  ibrav = 0, nat = 16, ntyp = 3
/
ATOMIC_SPECIES
Ge 72.64 Ge.upf
Ti 47.87 Ti.upf
Co 58.93 Co.upf
CELL_PARAMETERS angstrom
-1.849 0.823 -4.591
-7.126 -1.890 -0.211
-2.688 6.854 -0.431
ATOMIC_POSITIONS crystal
Ge 0.849 0.500 0.802
Ti 0.222 0.695 0.861
Co 0.250 0.500 0.500
Ti 0.778 0.305 0.139
Ge 0.750 0.000 0.000
Ti 0.722 0.861 0.695
Ge 0.349 0.802 0.500
Ti 0.278 0.139 0.305
Ti 0.917 0.861 0.305
Ti 0.083 0.139 0.695
Ti 0.417 0.305 0.861
Ge 0.651 0.198 0.500
Ge 0.250 0.000 0.000
Ti 0.583 0.695 0.139
Ge 0.151 0.500 0.198
Co 0.750 0.500 0.500
```

## Properties
- Formation energy: -4.679 eV/f.u.
- Symmetry: No. 140

=====

# ZnGaPCl2

Crystalline ZnGaPCl2 at its relaxed geometry (PBE, the Alexandria database). Values from VASP.

Quantum ESPRESSO input file:
```
&SYSTEM
  ibrav = 0, nat = 5, ntyp = 4
/
ATOMIC_SPECIES
Zn 65.41 Zn.upf
Ga 69.72 Ga.upf
P 30.97 P.upf
Cl 35.45 Cl.upf
CELL_PARAMETERS angstrom
-0.353 -4.428 2.658
3.354 1.829 3.493
-3.567 1.781 2.492
ATOMIC_POSITIONS crystal
Zn 0.000 0.000 0.000
Ga 0.500 0.500 0.500
P 0.000 0.000 0.500
Cl 0.500 0.000 0.000
Cl 0.000 0.500 0.000
```

## Properties
- Formation energy (no corrections): -0.06 eV/atom
- Polymorph energy (0 for the lowest one): 0 meV/atom
- Symmetry: No. 123

=====

# Ba2TlIn4Ge3

Crystalline Ba2TlIn4Ge3 at its relaxed geometry (PBE, the Alexandria database). Values from VASP.

Quantum ESPRESSO input file:
```
&SYSTEM
  ibrav = 0, nat = 10, ntyp = 4
/
ATOMIC_SPECIES
Ba 137.33 Ba.upf
In 114.82 In.upf
Ge 72.64 Ge.upf
Tl 204.38 Tl.upf
CELL_PARAMETERS angstrom
5.212 0.000 0.000
0.000 5.212 0.000
0.000 0.000 10.741
ATOMIC_POSITIONS crystal
Ba 0.500 0.000 0.255
In 0.500 0.500 0.000
Ba 0.000 0.500 0.745
In 0.000 0.500 0.369
Ge 0.000 0.000 0.500
Ge 0.500 0.000 0.886
In 0.500 0.000 0.631
Ge 0.000 0.500 0.114
Tl 0.500 0.500 0.500
In 0.000 0.000 0.000
```

## Properties
- Formation energy: -2.732 eV/f.u.
- Symmetry: No. 115

=====

# Ho5MgRu3

Crystalline Ho5MgRu3 at its relaxed geometry (PBE, the Alexandria database). Values from VASP.

Quantum ESPRESSO input file:
```
&SYSTEM
  ibrav = 0, nat = 18, ntyp = 3
/
ATOMIC_SPECIES
Ho 164.93 Ho.upf
Ru 101.07 Ru.upf
Mg 24.30 Mg.upf
CELL_PARAMETERS angstrom
6.871 -0.959 1.078
0.958 6.872 1.078
3.333 2.517 10.324
ATOMIC_POSITIONS crystal
Ho 0.670 0.670 0.578
Ru 0.333 0.333 0.169
Ho 0.906 0.367 0.319
Ho 0.367 0.906 0.319
Ho 0.330 0.330 0.422
Ru 0.658 0.658 0.336
Ru 0.342 0.342 0.664
Ho 0.735 0.265 0.000
Ru 0.000 0.000 0.000
Ru 0.000 0.000 0.500
Mg 0.031 0.031 0.748
Ho 0.633 0.094 0.681
Ho 0.696 0.696 0.068
Ho 0.094 0.633 0.681
Mg 0.969 0.969 0.252
Ho 0.265 0.735 0.000
Ru 0.667 0.667 0.831
Ho 0.304 0.304 0.932
```

## Properties
- Formation energy: -1.356 eV/f.u.
- Symmetry: No. 12

=====

# AcCe2Ga2Au2

Crystalline AcCe2Ga2Au2 at its relaxed geometry (PBE, the Alexandria database). Values from VASP.

Quantum ESPRESSO input file:
```
&SYSTEM
  ibrav = 0, nat = 7, ntyp = 4
/
ATOMIC_SPECIES
Ce 140.12 Ce.upf
Ga 69.72 Ga.upf
Au 196.97 Au.upf
Ac 227.00 Ac.upf
CELL_PARAMETERS angstrom
-0.663 0.848 -4.414
-0.428 -3.442 -2.935
-9.745 -0.894 -1.047
ATOMIC_POSITIONS crystal
Ce 0.141 0.141 0.577
Ga 0.254 0.254 0.238
Au 0.588 0.588 0.236
Au 0.412 0.412 0.764
Ac 0.000 0.000 0.000
Ga 0.746 0.746 0.762
Ce 0.859 0.859 0.423
```

## Properties
- Formation energy: -4.370 eV/f.u.
- Symmetry: No. 166

=====

# CaPm5Si2

Crystalline CaPm5Si2 at its relaxed geometry (PBE, the Alexandria database). Values from VASP.

Quantum ESPRESSO input file:
```
&SYSTEM
  ibrav = 0, nat = 8, ntyp = 3
/
ATOMIC_SPECIES
Si 28.09 Si.upf
Ca 40.08 Ca.upf
Pm 145.00 Pm.upf
CELL_PARAMETERS angstrom
-1.994 -3.462 -2.262
4.667 -6.040 0.472
-3.354 -4.505 5.191
ATOMIC_POSITIONS crystal
Si 0.278 0.222 0.222
Si 0.722 0.778 0.778
Ca 0.000 0.000 0.000
Pm 0.662 0.151 0.524
Pm 0.662 0.524 0.151
Pm 0.000 0.500 0.500
Pm 0.338 0.849 0.476
Pm 0.338 0.476 0.849
```

## Properties
- Formation energy (no corrections): -0.21 eV/atom
- Symmetry: No. 71

=====

# CuAsP2

Crystalline CuAsP2 at its relaxed geometry (PBE, the Alexandria database). Values from VASP.

Quantum ESPRESSO input file:
```
&SYSTEM
  ibrav = 0, nat = 4, ntyp = 3
/
ATOMIC_SPECIES
P 30.97 P.upf
Cu 63.55 Cu.upf
As 74.92 As.upf
CELL_PARAMETERS angstrom
-1.289 -3.633 0.916
3.182 -1.575 -1.768
1.986 0.160 3.429
ATOMIC_POSITIONS crystal
P 0.000 0.000 0.000
Cu 0.500 0.000 0.500
P 0.000 0.500 0.500
As 0.500 0.500 0.000
```

## Properties
- Formation energy: 2.542 eV/f.u.
- Symmetry: No. 123

=====

# HfFe5Re

Crystalline HfFe5Re at its relaxed geometry (PBE, the Alexandria database). Values from VASP.

Quantum ESPRESSO input file:
```
&SYSTEM
  ibrav = 0, nat = 28, ntyp = 3
/
ATOMIC_SPECIES
Fe 55.84 Fe.upf
Re 186.21 Re.upf
Hf 178.49 Hf.upf
CELL_PARAMETERS angstrom
4.656 0.000 0.000
0.000 7.781 0.000
0.000 0.000 9.865
ATOMIC_POSITIONS crystal
Fe 0.505 0.430 0.193
Re 0.750 0.135 0.148
Fe 0.750 0.555 0.585
Fe 0.995 0.430 0.193
Re 0.250 0.365 0.648
Hf 0.750 0.255 0.440
Fe 0.250 0.945 0.085
Fe 0.750 0.914 0.521
Hf 0.250 0.745 0.560
Fe 0.495 0.070 0.693
Fe 0.250 0.188 0.249
Fe 0.750 0.312 0.749
Fe 0.250 0.086 0.479
Fe 0.005 0.070 0.693
Fe 0.750 0.055 0.915
Fe 0.750 0.414 0.979
Fe 0.495 0.570 0.807
Fe 0.995 0.930 0.307
Re 0.750 0.635 0.352
Hf 0.750 0.755 0.060
Fe 0.250 0.688 0.251
Fe 0.005 0.570 0.807
Fe 0.250 0.586 0.021
Fe 0.505 0.930 0.307
Re 0.250 0.865 0.852
Fe 0.250 0.445 0.415
Fe 0.750 0.812 0.751
Hf 0.250 0.245 0.940
```

## Properties
- Formation energy: -0.915 eV/f.u.
- Symmetry: No. 62

=====

| no. | DFT total energy (eV per formula unit) |
| --- | --- |
| 1 | -57.2 |
| 2 | -13.7 |
| 3 | -33.7 |
| 4 | -53.7 |
| 5 | -33.0 |
| 6 | -38.3 |
| 7 | -17.0 |
| 8 | -65.6 |